(1)
Below is crystalline CaAg2 at its relaxed geometry, with properties calculated at the GGA-PBE level.

Formation energy, eV per atom: -0.250
DOS at the Fermi energy, states/eV per atom: 0.851
Space group: Fd-3m

Geometry as POSCAR:
```
CaAg2
1.0
-0.277 -4.512 3.604
0.371 -5.383 -2.075
4.722 -3.174 1.025
Ag Ca
4 2
Direct
0.500 0.500 0.500
0.000 0.500 0.000
0.500 0.000 0.000
0.500 0.500 0.000
0.875 0.875 0.375
0.125 0.125 0.625
```

---

(2)
Below is crystalline Ca3Ag at its relaxed geometry, with properties calculated at the GGA-PBE level.

Formation energy, eV per atom: -0.067
DOS at the Fermi energy, states/eV per atom: 0.917
Distance to the lowest polymorph of the same formula, eV/atom: 0.128
Space group: R-3m

Geometry as POSCAR:
```
Ca3Ag
1.0
-9.695 -3.294 -2.502
-8.397 -6.368 -0.190
-9.971 -3.051 1.541
Ca Ag
3 1
Direct
0.729 0.729 0.729
0.500 0.500 0.500
0.271 0.271 0.271
0.000 0.000 0.000
```

---

(3)
Below is crystalline Ca7Ag6 at its relaxed geometry, with properties calculated at the GGA-PBE level.

Formation energy, eV per atom: 0.185
DOS at the Fermi energy, states/eV per atom: 0.728
Space group: R-3m

Geometry as POSCAR:
```
Ca7Ag6
1.0
-5.409 1.900 -8.468
-4.409 -5.123 -7.674
-9.344 -1.756 -3.767
Ca Ag
7 6
Direct
0.939 0.417 0.417
0.417 0.417 0.939
0.417 0.939 0.417
0.061 0.583 0.583
0.583 0.061 0.583
0.583 0.583 0.061
0.500 0.500 0.500
0.947 0.947 0.947
0.053 0.053 0.053
0.844 0.844 0.844
0.156 0.156 0.156
0.663 0.663 0.663
0.337 0.337 0.337
```

---

(4)
Below is crystalline CaAg3 at its relaxed geometry, with properties calculated at the GGA-PBE level.

Formation energy, eV per atom: -0.155
DOS at the Fermi energy, states/eV per atom: 0.257
Space group: P4/mmm

Geometry as POSCAR:
```
CaAg3
1.0
3.655 0.010 0.000
-0.010 3.655 0.000
0.000 0.000 6.405
Ca Ag
1 3
Direct
0.500 0.500 0.250
0.000 0.000 0.972
0.500 0.500 0.750
0.000 0.000 0.528
```

---

(5)
Below is crystalline Ca2Ag at its relaxed geometry, with properties calculated at the GGA-PBE level.

Formation energy, eV per atom: -0.240
DOS at the Fermi energy, states/eV per atom: 0.798
Space group: I4/mcm

Geometry as POSCAR:
```
Ca2Ag
1.0
6.264 -0.030 0.000
-2.733 5.636 0.000
-1.766 -2.803 5.316
Ag Ca
2 4
Direct
0.750 0.750 0.000
0.250 0.250 0.000
0.326 0.174 0.500
0.674 0.826 0.500
0.174 0.674 0.848
0.826 0.326 0.152
```

---

(6)
Below is crystalline Ca3Ag at its relaxed geometry, with properties calculated at the GGA-PBE level.

Formation energy, eV per atom: -0.195
DOS at the Fermi energy, states/eV per atom: 0.842
Distance to the lowest polymorph of the same formula, eV/atom: 0.000
Space group: Pnma

Geometry as POSCAR:
```
Ca3Ag
1.0
-3.005 -5.086 -3.403
4.950 1.189 -6.148
6.528 -6.529 3.993
Ag Ca
4 12
Direct
0.555 0.881 0.750
0.055 0.619 0.250
0.945 0.381 0.750
0.445 0.119 0.250
0.134 0.033 0.750
0.634 0.467 0.250
0.366 0.533 0.750
0.866 0.967 0.250
0.657 0.179 0.940
0.157 0.321 0.060
0.843 0.679 0.560
0.343 0.821 0.440
0.343 0.821 0.060
0.843 0.679 0.940
0.157 0.321 0.440
0.657 0.179 0.560
```

---

(7)
Below is crystalline Ca2Cd2Ag at its relaxed geometry, with properties calculated at the GGA-PBE level.

Formation energy, eV per atom: -0.060
DOS at the Fermi energy, states/eV per atom: 0.772
Distance to the lowest polymorph of the same formula, eV/atom: 0.254
Space group: I4/mmm

Geometry as POSCAR:
```
Ca2Cd2Ag
1.0
6.081 0.000 0.000
0.000 6.081 0.000
3.041 3.041 4.087
Ca Ag Cd
2 1 2
Direct
0.750 0.250 0.500
0.250 0.750 0.500
0.000 0.000 0.000
0.337 0.337 0.326
0.663 0.663 0.674
```

---

(8)
Below is crystalline CaCd6Ag2 at its relaxed geometry, with properties calculated at the GGA-PBE level.

Formation energy, eV per atom: -0.116
DOS at the Fermi energy, states/eV per atom: 0.230
Distance to the lowest polymorph of the same formula, eV/atom: 0.000
Space group: P-3m1

Geometry as POSCAR:
```
CaCd6Ag2
1.0
-0.114 -0.503 4.862
-4.026 -0.844 -2.639
2.601 -9.547 -0.926
Ca Cd Ag
1 6 2
Direct
0.000 0.000 0.500
0.667 0.333 0.037
0.333 0.667 0.963
0.000 0.000 0.171
0.334 0.667 0.329
0.000 0.000 0.829
0.666 0.333 0.671
0.333 0.666 0.668
0.667 0.334 0.332
```

---

(9)
Below is crystalline Ca4CdAg at its relaxed geometry, with properties calculated at the GGA-PBE level.

Formation energy, eV per atom: -0.235
DOS at the Fermi energy, states/eV per atom: 0.755
Distance to the lowest polymorph of the same formula, eV/atom: 0.000
Space group: P4/mmm

Geometry as POSCAR:
```
Ca4CdAg
1.0
3.811 -0.001 0.000
0.001 3.811 0.000
-0.001 -0.001 13.117
Ca Cd Ag
4 1 1
Direct
0.500 0.500 0.855
0.500 0.500 0.145
0.000 0.000 0.635
0.000 0.000 0.365
0.000 0.000 0.000
0.500 0.500 0.500
```

---

(10)
Below is crystalline CaCdAg2 at its relaxed geometry, with properties calculated at the GGA-PBE level.

Formation energy, eV per atom: -0.062
DOS at the Fermi energy, states/eV per atom: 0.396
Space group: Pmma

Geometry as POSCAR:
```
CaCdAg2
1.0
-3.698 3.766 -1.900
-1.758 -3.764 -4.040
-9.225 -4.783 8.471
Ca Cd Ag
4 4 8
Direct
0.000 0.250 0.585
0.500 0.750 0.099
0.000 0.750 0.415
0.500 0.250 0.901
0.500 0.750 0.678
0.500 0.250 0.322
0.000 0.250 0.327
0.000 0.750 0.673
0.000 0.000 0.000
0.500 0.500 0.500
0.255 0.750 0.859
0.745 0.250 0.141
0.745 0.750 0.859
0.255 0.250 0.141
0.000 0.500 0.000
0.500 0.000 0.500
```

---

(11)
Below is crystalline Ca5Cd2Ag12 at its relaxed geometry, with properties calculated at the GGA-PBE level.

Formation energy, eV per atom: -0.209
DOS at the Fermi energy, states/eV per atom: 0.366
Space group: C2/m

Geometry as POSCAR:
```
Ca5Cd2Ag12
1.0
-6.191 3.324 1.499
-3.352 -3.674 -5.698
-3.908 -7.572 2.163
Ca Cd Ag
5 2 12
Direct
0.563 0.755 0.490
0.041 0.694 0.612
0.500 0.000 0.000
0.959 0.306 0.388
0.437 0.245 0.510
0.000 0.711 0.000
0.000 0.289 0.000
0.101 0.115 0.771
0.753 0.332 0.709
0.753 0.958 0.709
0.353 0.407 0.788
0.353 0.805 0.788
0.676 0.554 0.892
0.324 0.446 0.108
0.647 0.593 0.212
0.647 0.195 0.212
0.247 0.668 0.291
0.247 0.042 0.291
0.899 0.885 0.229
```

---

(12)
Below is crystalline Ca3Cd8Ag3 at its relaxed geometry, with properties calculated at the GGA-PBE level.

Formation energy, eV per atom: -0.238
DOS at the Fermi energy, states/eV per atom: 0.511
Space group: Immm

Geometry as POSCAR:
```
Ca3Cd8Ag3
1.0
-4.374 -1.375 1.634
1.463 -4.239 7.599
-1.963 5.497 6.617
Ca Cd Ag
3 8 3
Direct
0.500 0.500 0.500
0.797 0.203 0.203
0.203 0.797 0.797
0.629 0.088 0.655
0.371 0.912 0.345
0.629 0.655 0.088
0.371 0.345 0.912
0.846 0.792 0.515
0.154 0.208 0.485
0.846 0.515 0.792
0.154 0.485 0.208
0.500 0.000 0.000
0.000 0.838 0.162
0.000 0.162 0.838
```

---

(13)
Below is crystalline CaCd12Ag4 at its relaxed geometry, with properties calculated at the GGA-PBE level.

Formation energy, eV per atom: 0.107
DOS at the Fermi energy, states/eV per atom: 0.357
Space group: Im-3

Geometry as POSCAR:
```
CaCd12Ag4
1.0
-2.424 -6.513 4.674
-3.184 -0.757 -7.709
8.362 0.164 -0.437
Ca Cd Ag
1 12 4
Direct
0.000 0.000 0.000
0.847 0.349 0.196
0.349 0.501 0.153
0.804 0.153 0.651
0.349 0.196 0.847
0.196 0.847 0.349
0.651 0.499 0.847
0.501 0.153 0.349
0.499 0.847 0.651
0.651 0.804 0.153
0.847 0.651 0.499
0.153 0.349 0.501
0.153 0.651 0.804
0.000 0.500 0.000
0.500 0.000 0.000
0.500 0.500 0.500
0.000 0.000 0.500
```

---

(14)
Below is crystalline Ca2Cd12Ag7 at its relaxed geometry, with properties calculated at the GGA-PBE level.

Formation energy, eV per atom: -0.105
DOS at the Fermi energy, states/eV per atom: 0.356
Space group: P-6

Geometry as POSCAR:
```
Ca2Cd12Ag7
1.0
-2.279 2.556 0.531
-7.366 -4.757 -8.717
-1.253 -3.564 11.773
Ca Cd Ag
2 12 7
Direct
0.500 0.000 0.000
0.000 0.667 0.333
0.500 0.878 0.594
0.500 0.716 0.122
0.500 0.406 0.284
0.500 0.256 0.822
0.500 0.566 0.744
0.500 0.178 0.434
0.000 0.075 0.579
0.000 0.504 0.925
0.000 0.421 0.496
0.000 0.790 0.742
0.000 0.952 0.210
0.000 0.258 0.048
0.000 0.333 0.667
0.000 0.050 0.805
0.000 0.754 0.950
0.000 0.195 0.246
0.500 0.624 0.531
0.500 0.908 0.376
0.500 0.469 0.092
```

---

(15)
Below is crystalline CaCd6Ag at its relaxed geometry, with properties calculated at the GGA-PBE level.

Formation energy, eV per atom: -0.126
DOS at the Fermi energy, states/eV per atom: 0.373
Distance to the lowest polymorph of the same formula, eV/atom: 0.000
Space group: C2/m

Geometry as POSCAR:
```
CaCd6Ag
1.0
-2.170 -2.261 3.544
2.839 -3.498 2.664
1.785 4.602 7.187
Ca Cd Ag
1 6 1
Direct
0.000 0.500 0.500
0.249 0.833 0.669
0.532 0.198 0.738
0.252 0.394 0.103
0.468 0.802 0.262
0.751 0.167 0.331
0.748 0.606 0.897
0.000 0.000 0.000
```

---

(16)
Below is crystalline Ca2Cd2Ag3 at its relaxed geometry, with properties calculated at the GGA-PBE level.

Formation energy, eV per atom: -0.252
DOS at the Fermi energy, states/eV per atom: 0.555
Space group: C2/m

Geometry as POSCAR:
```
Ca2Cd2Ag3
1.0
4.624 0.000 0.000
-2.312 5.395 0.068
0.000 -2.772 6.713
Ca Cd Ag
2 2 3
Direct
0.859 0.717 0.244
0.141 0.283 0.756
0.853 0.706 0.783
0.147 0.294 0.217
0.500 0.000 0.000
0.609 0.217 0.430
0.391 0.783 0.570
```

---

(17)
Below is crystalline CaCd3Ag at its relaxed geometry, with properties calculated at the GGA-PBE level.

Formation energy, eV per atom: 0.680
DOS at the Fermi energy, states/eV per atom: 0.440
Distance to the lowest polymorph of the same formula, eV/atom: 0.900
Space group: Pm-3m

Geometry as POSCAR:
```
CaCd3Ag
1.0
-0.202 -1.196 -5.880
5.481 -2.432 0.306
-2.443 -5.357 1.174
Ca Ag Cd
1 1 3
Direct
0.000 0.000 0.000
0.500 0.500 0.500
0.000 0.500 0.000
0.000 0.000 0.500
0.500 0.000 0.000
```

---

(18)
Below is crystalline CaCd2Ag10 at its relaxed geometry, with properties calculated at the GGA-PBE level.

Formation energy, eV per atom: -0.057
DOS at the Fermi energy, states/eV per atom: 0.303
Space group: Fmmm

Geometry as POSCAR:
```
CaCd2Ag10
1.0
-2.766 0.627 4.822
3.846 -2.717 5.805
1.532 6.339 3.300
Ca Cd Ag
1 2 10
Direct
0.000 0.000 0.000
0.000 0.500 0.000
0.500 0.500 0.000
0.352 0.653 0.642
0.648 0.347 0.358
0.005 0.347 0.642
0.995 0.653 0.358
0.000 0.000 0.500
0.500 0.000 0.500
0.285 0.214 0.217
0.715 0.786 0.783
0.499 0.786 0.217
0.501 0.214 0.783
```

---

(19)
Below is crystalline Ca6Cd2Ag at its relaxed geometry, with properties calculated at the GGA-PBE level.

Formation energy, eV per atom: -0.236
DOS at the Fermi energy, states/eV per atom: 1.039
Distance to the lowest polymorph of the same formula, eV/atom: 0.000
Space group: P4_2/mnm

Geometry as POSCAR:
```
Ca6Cd2Ag
1.0
-3.835 -3.171 1.948
-0.287 -5.164 -8.970
7.203 -6.542 3.536
Ca Cd Ag
12 4 2
Direct
0.000 0.033 0.196
0.000 0.696 0.532
0.000 0.618 0.882
0.500 0.118 0.618
0.500 0.196 0.968
0.500 0.533 0.304
0.000 0.967 0.804
0.000 0.304 0.468
0.000 0.382 0.118
0.500 0.882 0.382
0.500 0.804 0.032
0.500 0.467 0.696
0.001 0.289 0.790
0.499 0.789 0.710
0.501 0.211 0.290
0.999 0.711 0.210
0.500 0.500 0.000
0.000 0.000 0.500
```

---

(20)
Below is crystalline CaCd6Ag6 at its relaxed geometry, with properties calculated at the GGA-PBE level.

Formation energy, eV per atom: -0.132
DOS at the Fermi energy, states/eV per atom: 0.387
Space group: Immm

Geometry as POSCAR:
```
CaCd6Ag6
1.0
-5.466 -1.384 0.172
-1.071 -7.388 -0.970
-2.237 -1.797 6.959
Ca Cd Ag
1 6 6
Direct
0.000 0.000 0.000
0.348 0.652 0.652
0.652 0.348 0.348
0.000 0.345 0.655
0.000 0.655 0.345
0.305 0.195 0.195
0.695 0.805 0.805
0.000 0.500 0.000
0.500 0.500 0.000
0.000 0.000 0.500
0.500 0.000 0.500
0.500 0.776 0.224
0.500 0.224 0.776
```

---

(21)
Below is crystalline Ca3Cd3Ag8 at its relaxed geometry, with properties calculated at the GGA-PBE level.

Formation energy, eV per atom: -0.210
DOS at the Fermi energy, states/eV per atom: 0.231
Space group: Immm

Geometry as POSCAR:
```
Ca3Cd3Ag8
1.0
-1.346 3.182 3.225
-4.411 -4.580 6.139
4.809 -1.758 7.204
Ca Cd Ag
3 3 8
Direct
0.500 0.500 0.500
0.798 0.202 0.202
0.202 0.798 0.798
0.500 0.000 0.000
0.000 0.788 0.212
0.000 0.212 0.788
0.630 0.090 0.650
0.370 0.910 0.350
0.630 0.650 0.090
0.370 0.350 0.910
0.825 0.817 0.534
0.175 0.183 0.466
0.825 0.534 0.817
0.175 0.466 0.183
```